Entry 1:
Here is a PBEsol-optimized structure of Y2SbIr from the Alexandria database. Energies are from SCAN.

abc: 4.170 4.170 5.858
angles: 110.85 110.85 90.00
Positions (direct):
Y 0.750 0.250 0.500
Sb 0.250 0.750 0.500
Y 0.000 0.000 0.000
Ir 0.500 0.500 0.000

Properties
Spin magnetization, μB per cell: 0.000
ΔE_f (raw), eV/atom: -0.770

=====

Entry 2:
Here is a PBEsol-optimized structure of BaSc2Al from the Alexandria database. Energies are from SCAN.

abc: 5.294 5.294 5.294
angles: 60.00 60.00 60.00
Each line ends with the local moment (μB).
Positions (direct):
Sc 0.750 0.750 0.750  0.16
Al 0.500 0.500 0.500  -0.02
Sc 0.000 0.000 0.000  0.23
Ba 0.250 0.250 0.250  0.03

Properties
Spin magnetization, μB per cell: 0.602
DFT total energy, eV/atom: -18.714

=====

Entry 3:
Here is a PBEsol-optimized structure of Ca2FeSe from the Alexandria database. Energies are from SCAN.

abc: 4.967 4.970 4.967
angles: 119.98 90.00 119.98
Each line ends with the local moment (μB).
Positions (direct):
Se 0.000 0.000 0.500  0.05
Ca 0.750 0.500 0.750  -0.06
Ca 0.250 0.500 0.250  -0.06
Fe 0.500 0.000 0.000  2.10

Properties
Spin magnetization, μB per cell: 2.005
Energy relative to the lowest polymorph listed for this composition, meV/atom: 277.7
ΔE_f (raw), eV/atom: -0.364

=====

Entry 4:
Here is a PBEsol-optimized structure of MgScCd2 from the Alexandria database. Energies are from SCAN.

abc: 3.640 4.781 4.781
angles: 90.00 90.00 90.00
Positions (direct):
Sc 0.500 0.000 0.000
Cd 0.000 0.500 0.000
Mg 0.500 0.500 0.500
Cd 0.000 0.000 0.500

Properties
Spin magnetization, μB per cell: 0.001
DFT total energy, eV/atom: -20.345

=====

Entry 5:
Here is a PBEsol-optimized structure of Mo3W from the Alexandria database. Energies are from SCAN.

abc: 2.721 5.192 5.192
angles: 117.02 100.06 100.06
Positions (direct):
Mo 0.000 0.000 0.500
Mo 0.500 0.500 0.500
Mo 0.000 0.500 0.000
W 0.500 0.000 0.000

Properties
Spin magnetization, μB per cell: 0.000
Energy relative to the lowest polymorph listed for this composition, meV/atom: 2.7

=====

Entry 6:
Here is a PBEsol-optimized structure of La2InW from the Alexandria database. Energies are from SCAN.

abc: 3.080 4.811 7.543
angles: 94.39 90.00 108.67
Positions (direct):
La 0.751 0.502 0.720
La 0.249 0.498 0.280
W 0.000 0.000 0.500
In 0.500 0.000 0.000

Properties
Spin magnetization, μB per cell: 0.000
DFT total energy, eV/atom: -46.801

=====

Entry 7:
Here is a PBEsol-optimized structure of Ni2Pt3 from the Alexandria database. Energies are from SCAN.

abc: 4.593 5.063 6.889
angles: 98.70 109.47 63.02
Each line ends with the local moment (μB).
Positions (direct):
Ni 0.550 0.503 0.901  1.01
Ni 0.152 0.497 0.099  1.01
Pt 0.707 0.995 0.210  0.31
Pt 0.349 0.500 0.500  0.28
Pt 0.492 0.005 0.790  0.31
Ni 0.303 0.997 0.401  1.01
Ni 0.899 0.003 0.599  1.01
Pt 0.099 0.000 0.000  0.28
Pt 0.747 0.495 0.290  0.31
Pt 0.952 0.505 0.710  0.31

Properties
Spin magnetization, μB per cell: 5.550
Energy relative to the lowest polymorph listed for this composition, meV/atom: 152.8

=====

Entry 8:
Here is a PBEsol-optimized structure of Al2AuCl from the Alexandria database. Energies are from SCAN.

abc: 2.851 4.710 5.911
angles: 108.01 103.96 90.00
Positions (direct):
Al 0.960 0.012 0.920
Al 0.249 0.662 0.498
Cl 0.752 0.256 0.503
Au 0.539 0.569 0.078

Properties
Spin magnetization, μB per cell: 0.001
Energy relative to the lowest polymorph listed for this composition, meV/atom: 0.0
ΔE_f (raw), eV/atom: -0.266